An optimized crystal structure of K2TlAg2, computed with PBE-GGA.

Cell lengths 9.8791, 9.8791, 3.4252 Å; angles 90.00, 90.00, 90.00 degrees
Last column: nearest neighbours and their distance in Å.
Fractional positions:
K 0.1860 0.3140 0.0000  6 Ag 3.42, 2 K 3.43, 2 Tl 3.61
K 0.3140 0.8140 0.0000  6 Ag 3.42, 2 K 3.43, 2 Tl 3.61
K 0.6860 0.1860 0.0000  6 Ag 3.42, 2 K 3.43, 2 Tl 3.61
K 0.8140 0.6860 0.0000  6 Ag 3.42, 2 K 3.43, 2 Tl 3.61
Tl 0.0000 0.0000 0.0000  2 Tl 3.43, 4 K 3.61
Tl 0.5000 0.5000 0.0000  2 Tl 3.43, 4 K 3.61
Ag 0.1019 0.6019 0.5000  1 Ag 2.85
Ag 0.3981 0.1019 0.5000  1 Ag 2.85
Ag 0.6019 0.8981 0.5000  1 Ag 2.85
Ag 0.8981 0.3981 0.5000  1 Ag 2.85

Volume: 33.43 Å³/atom
Space group: P4/mbm, No. 127
Polymorph energy (0 for the lowest one): 205.6 meV/atom
Spin magnetization: 0.00 μB per cell